Density functional theory data (GGA-PBE) for crystalline Pm5SiGe2 at its relaxed geometry.

Lattice parameters (Å, degrees): 7.846 7.846 8.858 116.29 116.29 90.00
Positions (direct):
Pm: 0.974 0.474 0.294
Ge: 0.626 0.126 0.000
Ge: 0.874 0.626 0.000
Ge: 0.126 0.374 0.000
Pm: 0.500 0.500 0.000
Pm: 0.000 0.000 0.000
Pm: 0.320 0.820 0.294
Pm: 0.180 0.026 0.706
Pm: 0.474 0.320 0.294
Ge: 0.374 0.874 0.000
Pm: 0.820 0.974 0.294
Pm: 0.680 0.180 0.706
Si: 0.750 0.750 0.500
Pm: 0.526 0.680 0.706
Pm: 0.026 0.526 0.706
Si: 0.250 0.250 0.500

Values from the calculation:
Raw total energy (eV per atom): -5.4544
Raw formation energy (eV per atom): -0.65



Density functional theory data (GGA-PBE) for crystalline Pm3SiGe3 at its relaxed geometry.

Lattice parameters (Å, degrees): 4.343 5.903 13.798 81.05 80.94 68.41
Positions (direct):
Ge: 0.119 0.842 0.921
Ge: 0.987 0.800 0.226
Pm: 0.393 0.290 0.924
Pm: 0.607 0.710 0.076
Ge: 0.881 0.158 0.079
Ge: 0.013 0.200 0.774
Si: 0.766 0.085 0.382
Ge: 0.150 0.241 0.459
Pm: 0.515 0.350 0.621
Pm: 0.267 0.234 0.231
Si: 0.234 0.915 0.618
Ge: 0.850 0.759 0.541
Pm: 0.485 0.650 0.379
Pm: 0.733 0.766 0.769

Values from the calculation:
Raw total energy (eV per atom): -5.4931
Raw formation energy (eV per atom): -0.70